(1)
Density functional theory data (GGA-PBE) for LiPdPtI2 after structural relaxation.

Summary:
Space-group type   No. 123
Raw formation energy   0.9 eV per formula unit
Density of states at the Fermi level   3.2 states/eV/f.u.
Volume   29.829 Å³/atom

a b c (Å): 5.439 5.041 5.439
angles (deg): 90.00 90.00 90.00
Positions (direct):
1 I 0.000 0.000 0.500
2 I 0.500 0.000 0.000
3 Pd 0.000 0.000 0.000
4 Pt 0.000 0.500 0.000
5 Li 0.500 0.500 0.500

(2)
Density functional theory data (GGA-PBE) for Sr2RhNCl after structural relaxation.

Summary:
Space-group type   No. 123
Raw formation energy   -5.2 eV per formula unit
Density of states at the Fermi level   0.7 states/eV/f.u.
Volume   22.567 Å³/atom

a b c (Å): 5.425 5.425 3.834
angles (deg): 90.00 90.00 90.00
Positions (direct):
1 Sr 0.000 0.500 0.000
2 Sr 0.500 0.000 0.000
3 N 0.000 0.000 0.000
4 Rh 0.000 0.000 0.500
5 Cl 0.500 0.500 0.500

(3)
Density functional theory data (GGA-PBE) for Ti2Al5Fe2Pd after structural relaxation.

Summary:
Space-group type   No. 127
Density of states at the Fermi level   8.4 states/eV/f.u.
ΔE_f   -0.41 eV/atom
Volume   14.614 Å³/atom

a b c (Å): 3.961 8.590 8.590
angles (deg): 90.00 90.00 90.00
Positions (direct):
1 Ti 0.000 0.669 0.169
2 Ti 0.000 0.331 0.831
3 Ti 0.000 0.169 0.331
4 Ti 0.000 0.831 0.669
5 Al 0.500 0.207 0.076
6 Al 0.500 0.793 0.924
7 Al 0.500 0.076 0.793
8 Al 0.500 0.707 0.424
9 Al 0.500 0.924 0.207
10 Al 0.500 0.293 0.576
11 Al 0.500 0.576 0.707
12 Al 0.500 0.424 0.293
13 Al 0.500 0.500 0.000
14 Al 0.500 0.000 0.500
15 Fe 0.000 0.119 0.619
16 Fe 0.000 0.881 0.381
17 Fe 0.000 0.619 0.881
18 Fe 0.000 0.381 0.119
19 Pd 0.000 0.000 0.000
20 Pd 0.000 0.500 0.500

(4)
Density functional theory data (GGA-PBE) for SmDyHo5Th2 after structural relaxation.

Summary:
Space-group type   No. 140
Density of states at the Fermi level   12.3 states/eV/f.u.
ΔE_f   0.34 eV/atom
Volume   32.736 Å³/atom

a b c (Å): 8.735 8.735 9.889
angles (deg): 116.21 116.21 90.00
Positions (direct):
1 Sm 0.250 0.750 0.500
2 Sm 0.750 0.250 0.500
3 Dy 0.250 0.250 0.500
4 Dy 0.750 0.750 0.500
5 Ho 0.931 0.431 0.280
6 Ho 0.651 0.151 0.720
7 Ho 0.069 0.569 0.720
8 Ho 0.151 0.069 0.720
9 Ho 0.569 0.651 0.720
10 Ho 0.849 0.931 0.280
11 Ho 0.431 0.349 0.280
12 Ho 0.349 0.849 0.280
13 Ho 0.500 0.500 0.000
14 Ho 0.000 0.000 0.000
15 Th 0.119 0.381 0.000
16 Th 0.619 0.119 0.000
17 Th 0.381 0.881 0.000
18 Th 0.881 0.619 0.000

(5)
Density functional theory data (GGA-PBE) for HfNbPd after structural relaxation.

Summary:
Space-group type   No. 11
Density of states at the Fermi level   1.9 states/eV/f.u.
ΔE_f   -0.46 eV/atom
Energy above the lowest structure with this stoichiometry   0.000 eV/atom
Volume   18.348 Å³/atom

a b c (Å): 3.431 3.431 9.353
angles (deg): 89.99 89.91 90.00
Positions (direct):
1 Hf 0.872 0.291 0.486
2 Hf 0.373 0.791 0.026
3 Nb 0.873 0.291 0.829
4 Nb 0.372 0.791 0.683
5 Pd 0.873 0.291 0.169
6 Pd 0.372 0.791 0.343

(6)
Density functional theory data (GGA-PBE) for AlCr2Cl after structural relaxation.

Summary:
Space-group type   No. 71
Raw formation energy   1.8 eV per formula unit
Density of states at the Fermi level   4.5 states/eV/f.u.
Energy above the lowest structure with this stoichiometry   0.431 eV/atom
Volume   15.436 Å³/atom

a b c (Å): 5.132 5.132 5.132
angles (deg): 147.51 120.43 69.52
Positions (direct):
1 Cr 0.012 0.012 0.000
2 Cr 0.488 0.488 0.000
3 Al 0.750 0.250 0.500
4 Cl 0.250 0.750 0.500

no.,mass density (g cm⁻³)
1,6.3
2,4.8
3,5.1
4,9.0
5,11.4
6,4.5